# InSnTe2, single point on PBEsol structure, DFT SCAN
# final energy	-434.25	eV for the cell shown
# total magnetic moment	0.001	μB per atom
data_InSnTe2
_cell_length_a 4.4001
_cell_length_b 4.4001
_cell_length_c 21.4871
_cell_angle_alpha 90.00
_cell_angle_beta 90.00
_cell_angle_gamma 120.00
_symmetry_space_group_name_H-M 'R -3 m'
_symmetry_Int_Tables_number 166
_symmetry_space_group_name_Hall '-R 3 2"'
loop_
_atom_site_label
_atom_site_type_symbol
_atom_site_fract_x
_atom_site_fract_y
_atom_site_fract_z
In1 In 0.0000 0.0000 0.0000
Sn1 Sn 0.0000 0.0000 0.5000
Te1 Te 0.0000 0.0000 0.2509